(1)
Below is Fe2H2Br after structural relaxation, with properties calculated at the GGA-PBE level.

Fermi-level density of states in states/eV/cell: 6.5
Size of the total moment in Bohr magnetons per cell: 11.83
E in Ha/atom: -0.1761

a = 3.317 Å, b = 3.317 Å, c = 10.833 Å
α = 90.00°, β = 90.00°, γ = 90.00°
Positions (direct):
Fe (0.000, 0.000, 0.192)
Fe (0.000, 0.000, 0.808)
Fe (0.500, 0.500, 0.308)
Fe (0.500, 0.500, 0.692)
H (0.000, 0.500, 0.250)
H (0.000, 0.500, 0.750)
H (0.500, 0.000, 0.250)
H (0.500, 0.000, 0.750)
Br (0.000, 0.000, 0.500)
Br (0.500, 0.500, 0.000)

(2)
Below is Fe2HBr after structural relaxation, with properties calculated at the GGA-PBE level.

Fermi-level density of states in states/eV/cell: 0.0
Size of the total moment in Bohr magnetons per cell: 0.00
E in Ha/atom: -0.1807

a = 4.514 Å, b = 4.514 Å, c = 8.983 Å
α = 90.00°, β = 90.00°, γ = 90.00°
Positions (direct):
Fe (0.123, 0.250, 0.125)
Fe (0.250, 0.623, 0.375)
Fe (0.250, 0.877, 0.875)
Fe (0.377, 0.250, 0.625)
Fe (0.623, 0.750, 0.625)
Fe (0.750, 0.123, 0.875)
Fe (0.750, 0.377, 0.375)
Fe (0.877, 0.750, 0.125)
H (0.000, 0.000, 0.000)
H (0.000, 0.500, 0.250)
H (0.500, 0.000, 0.750)
H (0.500, 0.500, 0.500)
Br (0.000, 0.000, 0.500)
Br (0.000, 0.500, 0.750)
Br (0.500, 0.000, 0.250)
Br (0.500, 0.500, 0.000)

(3)
Below is FeH2Br2 after structural relaxation, with properties calculated at the GGA-PBE level.

Fermi-level density of states in states/eV/cell: 8.2
Size of the total moment in Bohr magnetons per cell: 12.00
E in Ha/atom: -0.1113

a = 17.716 Å, b = 17.716 Å, c = 17.716 Å
α = 166.97°, β = 166.97°, γ = 18.47°
Positions (direct):
Fe (0.375, 0.625, 0.750)
Fe (0.625, 0.375, 0.250)
H (0.035, 0.285, 0.750)
H (0.285, 0.035, 0.250)
H (0.715, 0.965, 0.750)
H (0.965, 0.715, 0.250)
Br (0.165, 0.415, 0.750)
Br (0.415, 0.165, 0.250)
Br (0.585, 0.835, 0.750)
Br (0.835, 0.585, 0.250)